No. 1
# LaDy3Ho6Tm2, relaxed, DFT PBE
# * density of states at the Fermi level: 1.31 states/eV per atom
# * V: 31.399 Å³ per atom
# * mass density: 8.61 g cm⁻³
# * energy of formation from the pure elements: 0.02 eV per atom
data_LaDy3Ho6Tm2
_cell_length_a 6.134
_cell_length_b 10.616
_cell_length_c 11.750
_cell_angle_alpha 90.00
_cell_angle_beta 99.98
_cell_angle_gamma 90.00
_symmetry_space_group_name_H-M 'C 1 2/m 1'
_symmetry_Int_Tables_number 12
loop_
_symmetry_equiv_pos_as_xyz
'x,y,z'
'-x,-y,-z'
'-x,y,-z'
'x,-y,z'
'x+1/2,y+1/2,z'
'-x+1/2,-y+1/2,-z'
'-x+1/2,y+1/2,-z'
'x+1/2,-y+1/2,z'
loop_
_atom_site_label
_atom_site_type_symbol
_atom_site_fract_x
_atom_site_fract_y
_atom_site_fract_z
La1 La 0.000 0.000 0.000
Dy1 Dy 0.000 0.167 0.500
Dy2 Dy 0.000 0.500 0.500
Ho1 Ho 0.248 0.333 0.748
Ho2 Ho 0.250 0.000 0.748
Tm1 Tm 0.000 0.333 0.000

No. 2
# La2DyHoTm5, relaxed, DFT PBE
# * density of states at the Fermi level: 1.30 states/eV per atom
# * V: 32.738 Å³ per atom
# * mass density: 8.17 g cm⁻³
# * energy of formation from the pure elements: 0.14 eV per atom
data_La2DyHoTm5
_cell_length_a 5.609
_cell_length_b 19.625
_cell_length_c 10.706
_cell_angle_alpha 90.00
_cell_angle_beta 90.00
_cell_angle_gamma 90.00
_symmetry_space_group_name_H-M 'C m c 21'
_symmetry_Int_Tables_number 36
loop_
_symmetry_equiv_pos_as_xyz
'x,y,z'
'-x,-y,z+1/2'
'-x,y,z'
'x,-y,z+1/2'
'x+1/2,y+1/2,z'
'-x+1/2,-y+1/2,z+1/2'
'-x+1/2,y+1/2,z'
'x+1/2,-y+1/2,z+1/2'
loop_
_atom_site_label
_atom_site_type_symbol
_atom_site_fract_x
_atom_site_fract_y
_atom_site_fract_z
La1 La 0.000 0.112 0.000
La2 La 0.000 0.115 0.585
Dy1 Dy 0.000 0.415 0.728
Ho1 Ho 0.000 0.201 0.278
Tm1 Tm 0.000 0.017 0.293
Tm2 Tm 0.000 0.283 0.572
Tm3 Tm 0.000 0.299 0.974
Tm4 Tm 0.000 0.390 0.287
Tm5 Tm 0.000 0.480 0.005

No. 3
# LaDy2HoTm2, relaxed, DFT PBE
# * density of states at the Fermi level: 1.65 states/eV per atom
# * V: 32.815 Å³ per atom
# * mass density: 8.15 g cm⁻³
# * energy of formation from the pure elements: 0.28 eV per atom
data_LaDy2HoTm2
_cell_length_a 6.467
_cell_length_b 17.947
_cell_length_c 3.393
_cell_angle_alpha 90.00
_cell_angle_beta 90.00
_cell_angle_gamma 90.00
_symmetry_space_group_name_H-M 'P n n m'
_symmetry_Int_Tables_number 58
loop_
_symmetry_equiv_pos_as_xyz
'x,y,z'
'-x,-y,-z'
'-x,-y,z'
'x,y,-z'
'x+1/2,-y+1/2,-z+1/2'
'-x+1/2,y+1/2,z+1/2'
'-x+1/2,y+1/2,-z+1/2'
'x+1/2,-y+1/2,z+1/2'
loop_
_atom_site_label
_atom_site_type_symbol
_atom_site_fract_x
_atom_site_fract_y
_atom_site_fract_z
La1 La 0.000 0.000 0.000
Dy1 Dy 0.213 0.191 0.000
Ho1 Ho 0.000 0.500 0.000
Tm1 Tm 0.210 0.353 0.500

No. 4
# LaDy2HoTm, relaxed, DFT PBE
# * density of states at the Fermi level: 1.59 states/eV per atom
# * V: 34.128 Å³ per atom
# * mass density: 7.76 g cm⁻³
# * energy of formation from the pure elements: 0.37 eV per atom
data_LaDy2HoTm
_cell_length_a 6.387
_cell_length_b 16.756
_cell_length_c 6.378
_cell_angle_alpha 90.00
_cell_angle_beta 90.00
_cell_angle_gamma 90.00
_symmetry_space_group_name_H-M 'C m c m'
_symmetry_Int_Tables_number 63
_symmetry_space_group_name_Hall '-C 2c 2'
loop_
_atom_site_label
_atom_site_type_symbol
_atom_site_fract_x
_atom_site_fract_y
_atom_site_fract_z
La1 La 0.000 0.161 0.250
Dy1 Dy 0.250 0.000 0.000
Ho1 Ho 0.000 0.346 0.250
Tm1 Tm 0.000 0.245 0.750

Repeat the fourth record exactly.
# LaDy2HoTm, relaxed, DFT PBE
# * density of states at the Fermi level: 1.59 states/eV per atom
# * V: 34.128 Å³ per atom
# * mass density: 7.76 g cm⁻³
# * energy of formation from the pure elements: 0.37 eV per atom
data_LaDy2HoTm
_cell_length_a 6.387
_cell_length_b 16.756
_cell_length_c 6.378
_cell_angle_alpha 90.00
_cell_angle_beta 90.00
_cell_angle_gamma 90.00
_symmetry_space_group_name_H-M 'C m c m'
_symmetry_Int_Tables_number 63
_symmetry_space_group_name_Hall '-C 2c 2'
loop_
_atom_site_label
_atom_site_type_symbol
_atom_site_fract_x
_atom_site_fract_y
_atom_site_fract_z
La1 La 0.000 0.161 0.250
Dy1 Dy 0.250 0.000 0.000
Ho1 Ho 0.000 0.346 0.250
Tm1 Tm 0.000 0.245 0.750